VASP calculation (PBE) on Li2Cu2Si after structural relaxation.

* Fermi-level density of states: 2.63 states/eV/cell
* energy above the most stable polymorph in this dataset: 33.3 kJ per mole of atoms
* formation energy without anion corrections: 119 meV/atom
* total DFT energy (no corrections): -3.37 eV per atom
* symmetry: P4/mbm, No. 127

POSCAR file:
```
Li2Cu2Si
1.0
6.727 0.000 0.000
0.000 6.727 0.000
0.000 0.000 2.772
Si Cu Li
2 4 4
direct
0.000 0.000 0.000
0.500 0.500 0.000
0.166 0.666 0.500
0.666 0.834 0.500
0.834 0.334 0.500
0.334 0.166 0.500
0.368 0.868 0.000
0.868 0.632 0.000
0.632 0.132 0.000
0.132 0.368 0.000
```



VASP calculation (PBE) on Li2Cu2Si3 after structural relaxation.

* Fermi-level density of states: 4.46 states/eV/cell
* formation energy without anion corrections: -123 meV/atom
* total DFT energy (no corrections): -4.16 eV per atom
* symmetry: Cmcm, No. 63

POSCAR file:
```
Li2Cu2Si3
1.0
-1.161 3.556 -1.230
-2.004 -2.669 -5.822
-6.712 -3.083 3.723
Li Cu Si
4 4 6
direct
0.154 0.250 0.308
0.846 0.750 0.692
0.949 0.250 0.898
0.051 0.750 0.102
0.696 0.940 0.391
0.304 0.060 0.609
0.304 0.440 0.609
0.696 0.560 0.391
0.230 0.750 0.460
0.770 0.250 0.540
0.563 0.421 0.127
0.437 0.579 0.873
0.437 0.921 0.873
0.563 0.079 0.127
```



VASP calculation (PBE) on LiCu2Si2 after structural relaxation.

* Fermi-level density of states: 1.96 states/eV/cell
* formation energy without anion corrections: -82 meV/atom
* total DFT energy (no corrections): -4.27 eV per atom
* symmetry: I4/mmm, No. 139

POSCAR file:
```
LiCu2Si2
1.0
3.806 0.000 0.000
0.000 3.806 0.000
1.903 1.903 5.143
Si Cu Li
2 2 1
direct
0.388 0.388 0.223
0.612 0.612 0.777
0.750 0.250 0.500
0.250 0.750 0.500
0.000 0.000 0.000
```



VASP calculation (PBE) on LiCu5Si2 after structural relaxation.

* Fermi-level density of states: 2.76 states/eV/cell
* energy above the most stable polymorph in this dataset: 4.4 kJ per mole of atoms
* formation energy without anion corrections: -32 meV/atom
* total DFT energy (no corrections): -4.19 eV per atom
* symmetry: Immm, No. 71

POSCAR file:
```
LiCu5Si2
1.0
-0.133 1.688 3.265
0.835 -4.055 4.202
5.520 0.581 1.997
Li Cu Si
1 5 2
direct
0.000 0.000 0.000
0.000 0.500 0.500
0.653 0.529 0.164
0.347 0.471 0.836
0.347 0.836 0.471
0.653 0.164 0.529
0.732 0.768 0.768
0.268 0.232 0.232
```



VASP calculation (PBE) on LiCu2Si after structural relaxation.

* Fermi-level density of states: 0.74 states/eV/cell
* formation energy without anion corrections: -40 meV/atom
* total DFT energy (no corrections): -3.92 eV per atom
* symmetry: P4mm, No. 99

POSCAR file:
```
LiCu2Si
1.0
2.618 0.010 0.000
-0.010 2.618 0.000
0.000 0.000 7.531
Cu Li Si
2 1 1
direct
0.000 0.000 0.998
0.500 0.500 0.238
0.000 0.000 0.500
0.500 0.500 0.765
```



VASP calculation (PBE) on LiCuSi after structural relaxation.

* Fermi-level density of states: 2.02 states/eV/cell
* formation energy without anion corrections: -193 meV/atom
* total DFT energy (no corrections): -4.00 eV per atom
* symmetry: Fmmm, No. 69

POSCAR file:
```
LiCuSi
1.0
5.148 0.000 -0.002
0.000 7.412 0.000
-2.285 0.000 4.276
Li Cu Si
4 4 4
direct
0.000 0.672 0.000
0.000 0.328 0.000
0.000 0.172 0.500
0.000 0.828 0.500
0.500 0.750 0.500
0.500 0.250 0.500
0.500 0.250 0.000
0.500 0.750 0.000
0.730 0.000 0.864
0.270 0.000 0.136
0.730 0.500 0.364
0.270 0.500 0.636
```



VASP calculation (PBE) on LiCuSi2 after structural relaxation.

* Fermi-level density of states: 0.71 states/eV/cell
* energy above the most stable polymorph in this dataset: 4.8 kJ per mole of atoms
* formation energy without anion corrections: 12 meV/atom
* total DFT energy (no corrections): -4.20 eV per atom
* symmetry: R-3m, No. 166

POSCAR file:
```
LiCuSi2
1.0
8.434 0.038 0.022
7.972 2.753 0.022
7.972 1.356 2.396
Cu Li Si
1 1 2
direct
0.250 0.250 0.250
0.750 0.750 0.750
0.997 0.997 0.997
0.503 0.503 0.503
```



VASP calculation (PBE) on LiCu2Si after structural relaxation.

* Fermi-level density of states: 0.82 states/eV/cell
* formation energy without anion corrections: 73 meV/atom
* total DFT energy (no corrections): -3.81 eV per atom
* symmetry: Cmmm, No. 65

POSCAR file:
```
LiCu2Si
1.0
-1.462 -0.037 2.149
2.555 -0.058 0.475
0.145 8.408 0.243
Cu Li Si
2 1 1
direct
0.000 0.000 0.993
0.000 0.000 0.507
0.500 0.500 0.250
0.500 0.500 0.750
```



VASP calculation (PBE) on Li6CuSi after structural relaxation.

* Fermi-level density of states: 2.78 states/eV/cell
* formation energy without anion corrections: -88 meV/atom
* total DFT energy (no corrections): -2.71 eV per atom
* symmetry: Amm2, No. 38

POSCAR file:
```
Li6CuSi
1.0
-4.525 -0.064 0.343
0.428 -1.006 5.462
-0.215 5.251 -1.849
Li Cu Si
6 1 1
direct
0.000 0.109 0.429
0.000 0.571 0.891
0.000 0.571 0.429
0.500 0.407 0.079
0.500 0.921 0.593
0.500 0.921 0.079
0.000 0.084 0.916
0.500 0.416 0.584
```



VASP calculation (PBE) on LiCu4Si after structural relaxation.

* Fermi-level density of states: 4.65 states/eV/cell
* energy above the most stable polymorph in this dataset: 0.0 kJ per mole of atoms
* formation energy without anion corrections: -54 meV/atom
* total DFT energy (no corrections): -4.01 eV per atom
* symmetry: Cmc2_1, No. 36

POSCAR file:
```
LiCu4Si
1.0
4.161 0.000 0.000
0.000 4.151 0.959
0.000 0.046 9.266
Li Cu Si
2 8 2
direct
0.263 0.910 0.181
0.763 0.090 0.819
0.762 0.826 0.347
0.262 0.174 0.653
0.260 0.469 0.063
0.760 0.531 0.937
0.261 0.748 0.504
0.761 0.252 0.496
0.761 0.672 0.656
0.261 0.328 0.344
0.260 0.602 0.797
0.760 0.398 0.203
```



VASP calculation (PBE) on Li3Cu6Si2 after structural relaxation.

* Fermi-level density of states: 2.91 states/eV/cell
* formation energy without anion corrections: -145 meV/atom
* total DFT energy (no corrections): -3.89 eV per atom
* symmetry: P-1, No. 2

POSCAR file:
```
Li3Cu6Si2
1.0
4.509 -0.795 1.330
-0.905 4.041 0.752
1.604 1.261 8.609
Li Cu Si
3 6 2
direct
0.000 0.000 0.000
0.188 0.243 0.632
0.812 0.757 0.368
0.879 0.380 0.199
0.487 0.191 0.085
0.121 0.620 0.801
0.513 0.809 0.915
0.265 0.882 0.449
0.735 0.118 0.551
0.673 0.481 0.735
0.327 0.519 0.265
```



VASP calculation (PBE) on LiCu2Si after structural relaxation.

* Fermi-level density of states: 1.45 states/eV/cell
* formation energy without anion corrections: -20 meV/atom
* total DFT energy (no corrections): -3.90 eV per atom
* symmetry: P4/mmm, No. 123

POSCAR file:
```
LiCu2Si
1.0
-0.656 -2.315 1.797
2.274 0.759 1.809
-3.410 3.239 2.927
Cu Li Si
2 1 1
direct
0.000 0.000 0.995
0.000 0.000 0.505
0.500 0.500 0.250
0.500 0.500 0.750
```



Total magnetic moment per entry: 0.0; 0.0; 0.0; 0.0; 0.0; 0.0; 0.0; 0.0; 0.0; 0.0; 0.0; 0.0 μB per cell